a.
DFT (PBE) results for a relaxed structure of LaCr2Ir.

Cell lengths 4.3688, 2.8734, 5.9942 Å; angles 75.73, 90.00, 90.00 degrees
Fractional positions:
La (0.5000, 0.7500, 0.7500)
Cr (0.0000, 0.9396, 0.0951)
Cr (0.0000, 0.5604, 0.4049)
Ir (0.5000, 0.2500, 0.2500)

- SG: P2/m, No. 10



b.
DFT (PBE) results for a relaxed structure of LaCr2Ir.

Cell lengths 9.7016, 9.7016, 9.7016 Å; angles 16.73, 16.73, 16.73 degrees
Fractional positions:
Cr (0.9878, 0.9878, 0.9878)
Cr (0.5122, 0.5122, 0.5122)
Ir (0.2500, 0.2500, 0.2500)
La (0.7500, 0.7500, 0.7500)

- SG: R-3m, No. 166



c.
DFT (PBE) results for a relaxed structure of LaCr2Ir.

Cell lengths 4.6982, 4.6982, 5.8858 Å; angles 75.71, 75.71, 38.62 degrees
Fractional positions:
La (0.7574, 0.7574, 0.7346)
Cr (0.2548, 0.2548, 0.2347)
Cr (0.9645, 0.9645, 0.1118)
Ir (0.5233, 0.5233, 0.4189)

- SG: Cm, No. 8



Most stable structure, least stable structure: c, b.



a.
DFT (PBE) results for a relaxed structure of LaCr2Ir.

Cell lengths 4.7378, 4.7378, 4.7378 Å; angles 119.96, 119.96, 90.07 degrees
Fractional positions:
Cr (0.0000, 0.0000, 0.0000)
Cr (0.2500, 0.7500, 0.5000)
La (0.7500, 0.2500, 0.5000)
Ir (0.5000, 0.5000, 0.0000)

- SG: I-4m2, No. 119



b.
DFT (PBE) results for a relaxed structure of LaCr2Ir.

Cell lengths 4.3780, 4.3780, 9.5159 Å; angles 76.70, 76.70, 90.00 degrees
Fractional positions:
Cr (0.3750, 0.1250, 0.7500)
Cr (0.8750, 0.1250, 0.7500)
Cr (0.8750, 0.1250, 0.2500)
Cr (0.8750, 0.6250, 0.2500)
Ir (0.7500, 0.2500, 0.5000)
Ir (0.0000, 0.0000, 0.0000)
La (0.5000, 0.5000, 0.0000)
La (0.2500, 0.7500, 0.5000)

- SG: I4_1/amd, No. 141



c.
DFT (PBE) results for a relaxed structure of LaCr2Ir.

Cell lengths 4.7085, 4.7085, 3.0681 Å; angles 90.00, 90.00, 90.00 degrees
Fractional positions:
Ir (0.5000, 0.0000, 0.5000)
Cr (0.5000, 0.5000, 0.0000)
Cr (0.0000, 0.0000, 0.0000)
La (0.0000, 0.5000, 0.5000)

- SG: P4/mmm, No. 123



Most stable structure, least stable structure: a, c.



a.
DFT (PBE) results for a relaxed structure of LaCr2Ir.

Cell lengths 5.0331, 5.0331, 5.3770 Å; angles 77.77, 77.77, 34.63 degrees
Fractional positions:
La (0.7500, 0.7500, 0.7500)
Cr (0.5264, 0.5264, 0.3750)
Cr (0.9736, 0.9736, 0.1250)
Ir (0.2500, 0.2500, 0.2500)

- SG: C2/m, No. 12



b.
DFT (PBE) results for a relaxed structure of LaCr2Ir.

Cell lengths 4.7978, 4.7978, 3.2469 Å; angles 90.01, 90.01, 104.48 degrees
Fractional positions:
La (0.0000, 0.5000, 0.5000)
Cr (0.5000, 0.5000, 0.0000)
Cr (0.0000, 0.0000, 0.0000)
Ir (0.5000, 0.0000, 0.5000)

- SG: Cmmm, No. 65



Most stable structure, least stable structure: a, b.



a.
DFT (PBE) results for a relaxed structure of LaCr2Ir.

Cell lengths 9.1659, 9.1659, 9.1659 Å; angles 18.49, 18.49, 18.49 degrees
Fractional positions:
Cr (0.2553, 0.2553, 0.2553)
Cr (0.9792, 0.9792, 0.9792)
La (0.7498, 0.7498, 0.7498)
Ir (0.5157, 0.5157, 0.5157)

- SG: R3m, No. 160



b.
DFT (PBE) results for a relaxed structure of LaCr2Ir.

Cell lengths 4.5032, 4.5032, 4.5032 Å; angles 60.00, 60.00, 60.00 degrees
Fractional positions:
Cr (0.2500, 0.2500, 0.2500)
Cr (0.7500, 0.7500, 0.7500)
Ir (0.5000, 0.5000, 0.5000)
La (0.0000, 0.0000, 0.0000)

- SG: Fm-3m, No. 225



Most stable structure, least stable structure: b, a.



a.
DFT (PBE) results for a relaxed structure of LaCr2Ir.

Cell lengths 4.4873, 4.1422, 4.1422 Å; angles 90.00, 90.00, 90.00 degrees
Fractional positions:
La (0.5000, 0.0000, 0.5000)
Cr (0.0000, 0.0000, 0.0000)
Cr (0.0000, 0.5000, 0.5000)
Ir (0.5000, 0.5000, 0.0000)

- SG: P4/mmm, No. 123



b.
DFT (PBE) results for a relaxed structure of LaCr2Ir.

Cell lengths 5.6859, 5.6859, 5.6859 Å; angles 148.71, 129.26, 60.83 degrees
Fractional positions:
Ir (0.5296, 0.5296, 0.0000)
La (0.2597, 0.7597, 0.5000)
Cr (0.9719, 0.9719, 0.0000)
Cr (0.7387, 0.2387, 0.5000)

- SG: Imm2, No. 44



Most stable structure, least stable structure: a, b.



a.
DFT (PBE) results for a relaxed structure of LaCrIr.

Cell lengths 4.6886, 4.6886, 4.6886 Å; angles 60.00, 60.00, 60.00 degrees
Fractional positions:
La (0.7500, 0.7500, 0.7500)
Cr (0.0000, 0.0000, 0.0000)
Ir (0.5000, 0.5000, 0.5000)

- SG: F-43m, No. 216



b.
DFT (PBE) results for a relaxed structure of LaCrIr.

Cell lengths 4.6805, 4.6805, 4.6805 Å; angles 60.00, 60.00, 60.00 degrees
Fractional positions:
La (0.0000, 0.0000, 0.0000)
Cr (0.5000, 0.5000, 0.5000)
Ir (0.7500, 0.7500, 0.7500)

- SG: F-43m, No. 216



c.
DFT (PBE) results for a relaxed structure of LaCrIr.

Cell lengths 4.0509, 4.0509, 4.6866 Å; angles 90.00, 90.00, 120.00 degrees
Fractional positions:
La (0.6667, 0.3333, 0.6677)
Ir (0.3333, 0.6667, 0.1381)
Cr (0.0000, 0.0000, 0.1942)

- SG: P3m1, No. 156



d.
DFT (PBE) results for a relaxed structure of LaCrIr.

Cell lengths 2.8907, 2.8907, 7.5346 Å; angles 90.00, 90.00, 120.00 degrees
Fractional positions:
Cr (0.0000, 0.0000, 0.0387)
La (0.3333, 0.6667, 0.6706)
Ir (0.6667, 0.3333, 0.2907)

- SG: P3m1, No. 156



Most stable structure, least stable structure: c, a.



a.
DFT (PBE) results for a relaxed structure of LiCrIr.

Cell lengths 4.3513, 4.3513, 4.3513 Å; angles 144.52, 127.16, 65.27 degrees
Fractional positions:
Ir (0.3326, 0.3326, 0.0000)
Cr (0.9983, 0.9983, 0.0000)
Li (0.6691, 0.6691, 0.0000)

- SG: Imm2, No. 44



b.
DFT (PBE) results for a relaxed structure of LiCrIr.

Cell lengths 4.2352, 4.8119, 4.1480 Å; angles 89.12, 90.00, 116.11 degrees
Fractional positions:
Li (0.5731, 0.1463, 0.7436)
Li (0.4269, 0.8537, 0.2564)
Ir (0.7527, 0.5055, 0.2308)
Ir (0.2473, 0.4945, 0.7692)
Cr (0.9079, 0.8159, 0.7067)
Cr (0.0921, 0.1841, 0.2933)

- SG: C2/m, No. 12



c.
DFT (PBE) results for a relaxed structure of LiCrIr.

Cell lengths 7.0810, 6.8687, 2.6110 Å; angles 83.83, 74.67, 21.51 degrees
Fractional positions:
Li (0.6691, 0.6691, 0.3309)
Ir (0.3379, 0.3379, 0.6621)
Cr (0.9930, 0.9930, 0.0070)

- SG: Fmm2, No. 42



d.
DFT (PBE) results for a relaxed structure of LiCrIr.

Cell lengths 4.0294, 4.0294, 4.0294 Å; angles 60.00, 60.00, 60.00 degrees
Fractional positions:
Cr (0.5000, 0.5000, 0.5000)
Li (0.0000, 0.0000, 0.0000)
Ir (0.7500, 0.7500, 0.7500)

- SG: F-43m, No. 216



Most stable structure, least stable structure: b, d.



a.
DFT (PBE) results for a relaxed structure of LiCrIr.

Cell lengths 4.7977, 4.7977, 4.7977 Å; angles 144.20, 144.20, 51.52 degrees
Fractional positions:
Li (0.3338, 0.3338, 0.0000)
Ir (0.6599, 0.6599, 0.0000)
Cr (0.0063, 0.0063, 0.0000)

- SG: I4mm, No. 107



b.
DFT (PBE) results for a relaxed structure of LiCrIr.

Cell lengths 4.0664, 4.0664, 2.6392 Å; angles 90.00, 90.00, 120.00 degrees
Fractional positions:
Li (0.3333, 0.6667, 0.6845)
Ir (0.6667, 0.3333, 0.3211)
Cr (0.0000, 0.0000, 0.9944)

- SG: P3m1, No. 156



Most stable structure, least stable structure: b, a.



a.
DFT (PBE) results for a relaxed structure of LiCr2Ir2.

Cell lengths 7.3550, 7.3550, 2.6625 Å; angles 90.00, 90.00, 90.00 degrees
Fractional positions:
Ir (0.6326, 0.1326, 0.0000)
Ir (0.3674, 0.8674, 0.0000)
Ir (0.1326, 0.3674, 0.0000)
Ir (0.8674, 0.6326, 0.0000)
Cr (0.3383, 0.1617, 0.5000)
Cr (0.6617, 0.8383, 0.5000)
Cr (0.8383, 0.3383, 0.5000)
Cr (0.1617, 0.6617, 0.5000)
Li (0.5000, 0.5000, 0.0000)
Li (0.0000, 0.0000, 0.0000)

- SG: P4/mbm, No. 127



b.
DFT (PBE) results for a relaxed structure of LiCr2Ir2.

Cell lengths 7.3340, 7.3340, 2.6570 Å; angles 90.00, 90.00, 90.00 degrees
Fractional positions:
Ir (0.8283, 0.3283, 0.5000)
Ir (0.1717, 0.6717, 0.5000)
Ir (0.6717, 0.8283, 0.5000)
Ir (0.3283, 0.1717, 0.5000)
Cr (0.1153, 0.3847, 0.0000)
Cr (0.8847, 0.6153, 0.0000)
Cr (0.3847, 0.8847, 0.0000)
Cr (0.6153, 0.1153, 0.0000)
Li (0.5000, 0.5000, 0.0000)
Li (0.0000, 0.0000, 0.0000)

- SG: P4/mbm, No. 127



Most stable structure, least stable structure: b, a.



a.
DFT (PBE) results for a relaxed structure of MgCr2Ir2.

Cell lengths 7.3731, 7.3731, 2.7175 Å; angles 90.00, 90.00, 90.00 degrees
Fractional positions:
Mg (0.0000, 0.0000, 0.0000)
Mg (0.5000, 0.5000, 0.0000)
Cr (0.8357, 0.3357, 0.5000)
Cr (0.3357, 0.1643, 0.5000)
Cr (0.6643, 0.8357, 0.5000)
Cr (0.1643, 0.6643, 0.5000)
Ir (0.8703, 0.6297, 0.0000)
Ir (0.6297, 0.1297, 0.0000)
Ir (0.3703, 0.8703, 0.0000)
Ir (0.1297, 0.3703, 0.0000)

- SG: P4/mbm, No. 127



b.
DFT (PBE) results for a relaxed structure of MgCr2Ir2.

Cell lengths 7.3387, 7.3387, 2.7139 Å; angles 90.00, 90.00, 90.00 degrees
Fractional positions:
Ir (0.8253, 0.3253, 0.5000)
Ir (0.1747, 0.6747, 0.5000)
Ir (0.6747, 0.8253, 0.5000)
Ir (0.3253, 0.1747, 0.5000)
Cr (0.3883, 0.8883, 0.0000)
Cr (0.6117, 0.1117, 0.0000)
Cr (0.8883, 0.6117, 0.0000)
Cr (0.1117, 0.3883, 0.0000)
Mg (0.5000, 0.5000, 0.0000)
Mg (0.0000, 0.0000, 0.0000)

- SG: P4/mbm, No. 127



Most stable structure, least stable structure: b, a.



a.
DFT (PBE) results for a relaxed structure of MnCrIr2.

Cell lengths 4.3859, 4.3859, 2.9285 Å; angles 90.00, 90.00, 90.00 degrees
Fractional positions:
Mn (0.5000, 0.0000, 0.5000)
Cr (0.0000, 0.5000, 0.5000)
Ir (0.0000, 0.0000, 0.0000)
Ir (0.5000, 0.5000, 0.0000)

- SG: P4/mmm, No. 123



b.
DFT (PBE) results for a relaxed structure of MnCrIr2.

Cell lengths 4.6485, 4.6485, 4.6485 Å; angles 132.50, 132.50, 69.44 degrees
Fractional positions:
Mn (0.5000, 0.5000, 0.0000)
Ir (0.0000, 0.0000, 0.0000)
Ir (0.2500, 0.7500, 0.5000)
Cr (0.7500, 0.2500, 0.5000)

- SG: I-4m2, No. 119



c.
DFT (PBE) results for a relaxed structure of MnCrIr2.

Cell lengths 5.1059, 5.1059, 5.1059 Å; angles 147.32, 130.30, 60.76 degrees
Fractional positions:
Ir (0.9883, 0.9883, 0.0000)
Ir (0.2712, 0.7712, 0.5000)
Mn (0.5128, 0.5128, 0.0000)
Cr (0.7277, 0.2277, 0.5000)

- SG: Imm2, No. 44



Most stable structure, least stable structure: b, c.